Model 1:
The following is a DFT calculation (PBE) of a geometry-optimized CdInCl4 structure.

Lattice parameters (Å, degrees): 6.7613 8.6120 9.5912 63.32 71.87 46.13
Last column: nearest neighbours and their distance in Å.
Fractional positions:
Cl1 0.2907 0.3097 0.4148  1 Cd 2.58, 1 In 2.81
Cl2 0.7093 0.6903 0.5852  1 Cd 2.58, 1 In 2.81
Cl3 0.2701 0.0568 0.8741  1 Cd 2.50, 1 In 2.69
Cl4 0.2093 0.7754 0.4148  1 Cd 2.58, 1 In 2.81
Cl5 0.7701 0.4309 0.1259  1 Cd 2.50, 1 In 2.69
Cl6 0.7907 0.2246 0.5852  1 Cd 2.58, 1 In 2.81
Cl7 0.2299 0.5691 0.8741  1 Cd 2.50, 1 In 2.69
Cl8 0.7299 0.9432 0.1259  1 Cd 2.50, 1 In 2.69
Cd1 0.2500 0.8832 0.7337  4 Cl 2.50-2.58
Cd2 0.7500 0.1168 0.2663  4 Cl 2.50-2.58
In1 0.7500 0.5901 0.3198  6 Cl 2.69-2.92
In2 0.2500 0.4099 0.6802  6 Cl 2.69-2.92

Results
symmetry = C2/c
calculated volume = 359.73 Å³/cell

---

Model 2:
The following is a DFT calculation (PBE) of a geometry-optimized CdInCl4 structure.

Lattice parameters (Å, degrees): 4.0340 6.9650 12.7174 89.42 90.00 90.00
Last column: nearest neighbours and their distance in Å.
Fractional positions:
In1 0.0000 0.0000 0.0000  6 Cl 2.80-2.81
In2 0.5000 0.5000 0.5000  6 Cl 2.80-2.81
Cl1 0.5000 0.1560 0.3865  2 Cd 2.70, 1 In 2.81
Cl2 0.5000 0.1831 0.8843  1 Cd 2.67, 2 In 2.80
Cl3 0.0000 0.6560 0.8865  2 Cd 2.70, 1 In 2.81
Cl4 0.0000 0.6831 0.3843  1 Cd 2.67, 2 In 2.80
Cl5 0.0000 0.3440 0.1135  2 Cd 2.70, 1 In 2.81
Cl6 0.5000 0.8440 0.6135  2 Cd 2.70, 1 In 2.81
Cl7 0.5000 0.8169 0.1157  1 Cd 2.67, 2 In 2.80
Cl8 0.0000 0.3169 0.6157  1 Cd 2.67, 2 In 2.80
Cd1 0.0000 0.0000 0.5000  6 Cl 2.67-2.70
Cd2 0.5000 0.5000 0.0000  6 Cl 2.67-2.70

Results
symmetry = C2/m
calculated volume = 357.30 Å³/cell

---

Model 3:
The following is a DFT calculation (PBE) of a geometry-optimized CdInCl4 structure.

Lattice parameters (Å, degrees): 6.1332 6.1332 6.1332 60.00 60.00 60.00
Last column: nearest neighbours and their distance in Å.
Fractional positions:
Cl1 0.3752 0.3752 0.8745  6 Cl 3.06-3.07
Cl2 0.3752 0.3752 0.3752  6 Cl 3.06-3.07
Cl3 0.3752 0.8745 0.3752  6 Cl 3.06-3.07
Cl4 0.8745 0.3752 0.3752  6 Cl 3.06-3.07
In1 0.7500 0.7500 0.7500  12 Cl 3.60, 4 Cd 3.76
Cd1 0.0000 0.0000 0.0000  12 Cl 3.60, 4 In 3.76

Results
symmetry = F-43m
calculated volume = 163.13 Å³/cell

---

Relative stability in meV/atom, measured from the most stable structure: model 1 17; model 2 0; model 3 1045